TbPm2Th | Alexandria | PBE | optimized geometry; E above lowest polymorph = 7 kJ/mol of formula units; SG = R3m, No. 160; VASP energy = -21.46 eV for the cell shown
1.0
-2.516 1.158 -2.343
0.013 -1.210 -3.420
-7.796 -8.863 1.184
Tb Pm Th
1 2 1
Cartesian
-5.144 -4.451 -2.292
-6.084 -6.688 0.421
-2.550 -2.197 -1.156
-1.670 -0.036 -3.842

TbPm3Th2 | Alexandria | PBE | optimized geometry; E above lowest polymorph = 242 kJ/mol of formula units; SG = R-3m, No. 166; VASP energy = -61.94 eV for the cell shown
1.0
0.142 5.113 5.653
-0.600 -6.570 3.820
7.293 -0.116 -2.217
Tb Pm Th
2 6 4
Cartesian
4.533 -1.043 4.812
2.303 -0.530 2.444
6.008 1.966 4.153
5.637 -3.865 3.238
2.068 -1.255 7.166
1.198 2.292 4.018
0.828 -3.538 3.103
4.767 -0.317 0.090
0.000 0.000 0.000
3.718 2.499 1.718
-0.229 -0.728 4.736
3.346 -3.343 0.802

Tb7Pm3Th | Alexandria | PBE | optimized geometry; SG = P3m1, No. 156; VASP energy = -52.13 eV for the cell shown
1.0
-7.560 -0.850 -4.299
3.553 -1.524 -5.946
-1.925 -5.207 4.414
Tb Pm Th
7 3 1
Cartesian
-1.920 -4.688 2.138
-0.972 -2.123 -0.037
0.819 -2.854 -3.009
-0.743 -2.521 -6.133
-2.511 -1.762 -3.174
-1.701 -5.112 -3.936
-0.170 -5.439 -0.791
-5.097 -4.036 -4.101
-6.048 -6.609 -1.920
-6.853 -3.284 -1.163
-3.476 -4.359 -0.960

Tb6Pm4Th | Alexandria | PBE | optimized geometry; SG = Cmcm, No. 63; VASP energy = -105.41 eV for the cell shown
1.0
-1.197 3.611 4.424
0.659 -5.532 0.846
25.322 3.614 3.905
Tb Pm Th
12 8 2
Cartesian
-0.599 1.806 2.212
12.062 3.613 4.164
8.029 0.197 2.013
16.754 1.497 7.161
20.121 1.978 7.680
4.662 -0.284 1.494
9.497 0.982 5.618
15.286 0.712 3.557
22.744 1.776 4.707
2.039 -0.083 4.468
6.386 -2.501 3.770
18.398 4.194 5.404
13.201 1.177 6.461
3.160 -2.968 3.278
11.582 0.517 2.713
21.624 4.661 5.896
23.668 2.670 8.075
1.115 -0.977 1.099
15.172 3.740 4.901
9.611 -2.047 4.273
5.767 0.514 4.990
19.016 1.180 4.184

Tb3Pm6Th | Alexandria | PBE | optimized geometry; E above lowest polymorph = 107 kJ/mol of formula units; SG = Pnnm, No. 58; VASP energy = -95.80 eV for the cell shown
1.0
-0.540 -3.169 -1.599
11.701 -2.743 1.484
-3.327 -6.553 14.124
Tb Pm Th
6 12 2
Cartesian
-1.721 -7.188 10.811
5.580 -2.956 -0.058
9.554 -5.277 3.198
3.029 -6.283 3.375
-1.664 -3.276 7.062
4.804 -6.182 10.634
5.828 -9.367 12.576
6.849 -7.304 8.138
6.061 -4.576 2.996
1.772 -7.890 11.013
0.984 -5.161 5.871
2.005 -3.098 1.433
6.811 -7.579 4.662
8.419 -2.358 1.829
7.648 -10.262 9.705
0.186 -2.203 4.304
-0.586 -10.107 12.180
1.022 -4.886 9.347
3.917 -6.233 7.004
0.000 0.000 0.000

Tb12Pm6Th | Alexandria | PBE | optimized geometry; SG = R-3m, No. 166; VASP energy = -87.35 eV for the cell shown
1.0
-0.566 -5.319 -6.950
8.441 -1.209 2.054
-3.707 -5.147 6.057
Tb Pm Th
12 6 1
Cartesian
-0.225 -6.892 -1.728
-0.830 -3.750 -0.151
2.459 -2.684 -1.235
2.559 -9.039 -1.127
1.709 -8.992 2.396
4.998 -7.926 1.311
5.197 -4.829 -0.446
1.279 -5.794 3.914
4.393 -4.785 2.888
-1.030 -6.847 1.607
2.889 -5.882 -2.754
1.609 -2.637 2.288
-0.974 -9.843 -0.105
5.832 -7.636 -2.348
4.073 -7.540 4.940
-1.664 -4.040 3.509
5.142 -1.833 1.266
0.095 -4.136 -3.780
0.000 0.000 0.000

Q: Which formula does entry 3 have?
A: Tb7Pm3Th